# 1
GeH5Br2 | GGA-PBE | relaxed

Results
For the calculated total energy, the calculation gives -3.130 eV per atom.

a = 5.2823 Å, b = 5.7663 Å, c = 6.1461 Å
α = 103.08°, β = 114.91°, γ = 106.37°
Space group P1 (No. 1)
Asymmetric unit:
Ge  0.0000  0.0000  0.0000 (multiplicity 1)
H  0.2082  0.0420  0.8883 (multiplicity 1)
H  0.2524  0.5295  0.8182 (multiplicity 1)
H  0.3180  0.5747  0.9632 (multiplicity 1)
H  0.8798  0.2030  0.0556 (multiplicity 1)
H  0.9008  0.7505  0.0457 (multiplicity 1)
Br  0.4878  0.2425  0.4882 (multiplicity 1)
Br  0.5024  0.7509  0.5054 (multiplicity 1)

=====

# 2
GeHBr2 | GGA-PBE | relaxed

Results
For the calculated total energy, the calculation gives -2.594 eV per atom.

a = 7.5270 Å, b = 7.5270 Å, c = 11.5110 Å
α = 90.00°, β = 90.00°, γ = 90.00°
Space group I-42d (No. 122)
Asymmetric unit:
Ge  0.0000  0.0000  0.0000 (multiplicity 4)
H  0.0000  0.0000  0.5000 (multiplicity 4)
Br  0.1708  0.2500  0.1250 (multiplicity 8)

=====

# 3
GeHBr | GGA-PBE | relaxed

Results
For the calculated total energy, the calculation gives -3.234 eV per atom.

a = 14.8440 Å, b = 3.5106 Å, c = 5.1627 Å
α = 90.00°, β = 97.65°, γ = 90.00°
Space group C2/m (No. 12)
Asymmetric unit:
Ge  0.0852  0.0000  0.0892 (multiplicity 4)
H  0.1073  0.5000  0.1652 (multiplicity 4)
Br  0.1551  0.0000  0.6937 (multiplicity 4)